No. 1
# HfZn3O

A relaxed structure of HfZn3O (PBEsol, Alexandria).

Cell and atoms, written as extended XYZ:
```
5
Lattice="4.213 0.000 0.000 0.000 4.213 0.000 0.000 0.000 4.213" Properties=species:S:1:pos:R:3 pbc="T T T"
Hf 0.000 0.000 0.000
Zn 0.000 2.106 2.106
Zn 2.106 0.000 2.106
Zn 2.106 2.106 0.000
O 2.106 2.106 2.106
```

E = -4.045 eV per atom
space group = No. 221

No. 2
# HfZn3O

A relaxed structure of HfZn3O (PBEsol, Alexandria).

Cell and atoms, written as extended XYZ:
```
5
Lattice="5.211 0.000 0.000 0.000 5.211 0.000 0.000 0.000 5.211" Properties=species:S:1:pos:R:3 pbc="T T T"
Hf 0.000 0.000 0.000
Zn 0.000 0.000 2.605
Zn 0.000 2.605 0.000
Zn 2.605 0.000 0.000
O 2.605 2.605 2.605
```

E = -2.565 eV per atom
space group = No. 221

no.,DOS(E_F) (states/eV/f.u.),theoretical density (g/cm3),energy relative to the lowest polymorph listed for this composition (meV/atom)
1,5.50,8.68,0
2,4.59,4.59,1480